This record from the Alexandria database describes an optimized crystal structure of Co2PdRh2. The functional is PBE.

Unit cell a=7.208 b=7.208 c=2.679 alpha=90.00 beta=90.00 gamma=90.00
Site moments in Bohr magnetons follow the coordinates.
Fractional coordinates of all 10 atoms:
Co1 0.166 0.666 0.500  1.88
Co2 0.666 0.834 0.500  1.86
Co3 0.834 0.334 0.500  1.88
Co4 0.334 0.166 0.500  1.86
Rh1 0.369 0.869 0.000  0.69
Rh2 0.869 0.631 0.000  0.67
Rh3 0.631 0.131 0.000  0.69
Rh4 0.131 0.369 0.000  0.67
Pd1 0.000 0.000 0.000  0.27
Pd2 0.500 0.500 0.000  0.27

Properties
Its space group is P4/mbm. As for the total magnetic moment: 5.3 μB/f.u. The formation energy comes out at 189 meV per atom. The calculation puts the energy above the most stable polymorph in this dataset at 48 meV/atom.



This record from the Alexandria database describes an optimized crystal structure of Th2TlH. The functional is PBE.

Unit cell a=3.519 b=3.519 c=9.071 alpha=78.68 beta=78.68 gamma=60.05
Fractional coordinates of all 4 atoms:
Th1 0.061 0.061 0.818
Th2 0.273 0.273 0.180
Tl1 0.500 0.500 0.500
H1 0.666 0.666 0.001

Properties
Its space group is Cm. As for the total magnetic moment: 0.0 μB/f.u. The calculation puts the energy above the most stable polymorph in this dataset at 61 meV/atom.



This record from the Alexandria database describes an optimized crystal structure of Na3ErPu2Se6. The functional is PBE.

Unit cell a=7.240 b=7.240 c=7.368 alpha=99.42 beta=99.42 gamma=120.01
Site moments in Bohr magnetons follow the coordinates.
Fractional coordinates of all 12 atoms:
Na1 0.167 0.833 0.500  0.00
Na2 0.833 0.167 0.500  0.00
Na3 0.500 0.500 0.500  0.00
Er1 0.000 0.000 0.000  -0.03
Pu1 0.333 0.667 0.000  -5.11
Pu2 0.667 0.333 0.000  -5.11
Se1 0.923 0.594 0.770  0.07
Se2 0.748 0.748 0.230  0.07
Se3 0.077 0.406 0.230  0.07
Se4 0.594 0.923 0.770  0.07
Se5 0.252 0.252 0.770  0.07
Se6 0.406 0.077 0.230  0.07

Properties
Its space group is C2/m. As for the total magnetic moment: 10.0 μB/f.u. The calculation puts the final energy at -76.054 eV per cell.



This record from the Alexandria database describes an optimized crystal structure of Ac2ScCuSe6. The functional is PBE.

Unit cell a=6.606 b=7.953 c=9.903 alpha=90.00 beta=91.44 gamma=90.00
Fractional coordinates of all 20 atoms:
Ac1 0.053 0.890 0.250
Ac2 0.553 0.610 0.750
Ac3 0.947 0.110 0.750
Ac4 0.447 0.390 0.250
Sc1 0.500 0.000 0.000
Sc2 0.000 0.500 0.500
Cu1 0.500 0.000 0.500
Cu2 0.000 0.500 0.000
Se1 0.327 0.683 0.042
Se2 0.827 0.817 0.542
Se3 0.673 0.317 0.958
Se4 0.173 0.183 0.458
Se5 0.329 0.677 0.455
Se6 0.829 0.823 0.955
Se7 0.671 0.323 0.545
Se8 0.171 0.177 0.045
Se9 0.905 0.514 0.237
Se10 0.405 0.986 0.737
Se11 0.095 0.486 0.763
Se12 0.595 0.014 0.263

Properties
Its space group is P2_1/c. As for the total magnetic moment: 0.0 μB/f.u. The calculation puts the final energy at -107.014 eV per cell.



This record from the Alexandria database describes an optimized crystal structure of Os2RhAu. The functional is PBE.

Unit cell a=9.371 b=9.371 c=9.371 alpha=16.87 beta=16.87 gamma=16.87
Fractional coordinates of all 4 atoms:
Os1 0.755 0.755 0.755
Os2 0.245 0.245 0.245
Rh1 0.500 0.500 0.500
Au1 0.000 0.000 0.000

Properties
Its space group is R-3m. As for the total magnetic moment: 0.0 μB/f.u. The formation energy comes out at 354 meV per atom. The calculation puts the energy above the most stable polymorph in this dataset at 138 meV/atom.



This record from the Alexandria database describes an optimized crystal structure of TcRhI2N. The functional is PBE.

Unit cell a=5.683 b=5.683 c=3.687 alpha=90.00 beta=90.00 gamma=90.00
Site moments in Bohr magnetons follow the coordinates.
Fractional coordinates of all 5 atoms:
I1 0.000 0.500 0.000  0.08
I2 0.500 0.000 0.000  0.08
Rh1 0.000 0.000 0.000  0.00
Tc1 0.500 0.500 0.500  3.58
N1 0.000 0.000 0.500  -0.01

Properties
Its space group is P4/mmm. As for the total magnetic moment: 4.3 μB/f.u. The calculation puts the energy above the most stable polymorph in this dataset at 231 meV/atom.



This record from the Alexandria database describes an optimized crystal structure of AcPd6Au. The functional is PBE.

Unit cell a=5.285 b=5.285 c=5.285 alpha=90.00 beta=90.00 gamma=90.00
Fractional coordinates of all 8 atoms:
Ac1 0.500 0.500 0.500
Pd1 0.500 0.757 0.000
Pd2 0.757 0.000 0.500
Pd3 0.000 0.500 0.243
Pd4 0.243 0.000 0.500
Pd5 0.500 0.243 0.000
Pd6 0.000 0.500 0.757
Au1 0.000 0.000 0.000

Properties
Its space group is Pm-3. As for the total magnetic moment: 0.0 μB/f.u. The formation energy comes out at -219 meV per atom.



This record from the Alexandria database describes an optimized crystal structure of Dy5HoSe6. The functional is PBE.

Unit cell a=7.036 b=7.050 c=7.066 alpha=60.07 beta=80.35 gamma=70.37
Fractional coordinates of all 12 atoms:
Dy1 0.500 0.168 0.665
Dy2 0.000 0.333 0.333
Dy3 0.500 0.500 0.000
Dy4 0.000 0.667 0.667
Dy5 0.500 0.832 0.335
Ho1 0.000 0.000 0.000
Se1 0.751 0.083 0.332
Se2 0.249 0.585 0.332
Se3 0.250 0.249 0.000
Se4 0.750 0.751 0.000
Se5 0.751 0.415 0.668
Se6 0.249 0.917 0.668

Properties
Its space group is C2/m. As for the total magnetic moment: 0.0 μB/f.u. The calculation puts the final energy at -69.439 eV per cell.



This record from the Alexandria database describes an optimized crystal structure of Si2AgPt. The functional is PBE.

Unit cell a=2.857 b=2.857 c=7.681 alpha=90.00 beta=90.00 gamma=90.01
Fractional coordinates of all 4 atoms:
Ag1 0.000 0.000 0.496
Pt1 0.500 0.500 0.788
Si1 0.000 0.000 0.987
Si2 0.500 0.500 0.230

Properties
Its space group is P4mm. As for the total magnetic moment: 0.0 μB/f.u. The calculation puts the energy above the most stable polymorph in this dataset at 177 meV/atom.



This record from the Alexandria database describes an optimized crystal structure of Tb5Pm3Pr2. The functional is PBE.

Unit cell a=9.312 b=9.311 c=11.239 alpha=123.38 beta=123.38 gamma=70.84
Fractional coordinates of all 20 atoms:
Tb1 0.274 0.524 0.047
Tb2 0.726 0.476 0.953
Tb3 0.027 0.777 0.555
Tb4 0.527 0.277 0.554
Tb5 0.973 0.223 0.445
Tb6 0.473 0.723 0.446
Tb7 0.873 0.619 0.737
Tb8 0.127 0.381 0.263
Tb9 0.364 0.118 0.737
Tb10 0.636 0.882 0.263
Pm1 0.227 0.977 0.953
Pm2 0.773 0.023 0.047
Pm3 0.727 0.481 0.253
Pm4 0.273 0.519 0.747
Pm5 0.026 0.772 0.253
Pm6 0.974 0.228 0.747
Pr1 0.769 0.022 0.746
Pr2 0.231 0.978 0.254
Pr3 0.478 0.724 0.746
Pr4 0.522 0.276 0.254

Properties
Its space group is C2/c. As for the total magnetic moment: 0.0 μB/f.u. The formation energy comes out at 180 meV per atom. The calculation puts the energy above the most stable polymorph in this dataset at 0 meV/atom.



This record from the Alexandria database describes an optimized crystal structure of SnPbS. The functional is PBE.

Unit cell a=3.672 b=5.919 c=16.866 alpha=146.21 beta=90.00 gamma=108.07
Fractional coordinates of all 6 atoms:
Sn1 0.992 0.983 0.901
Sn2 0.008 0.017 0.099
Pb1 0.630 0.260 0.329
Pb2 0.370 0.740 0.671
S1 0.875 0.751 0.315
S2 0.125 0.249 0.685

Properties
Its space group is C2/m. As for the total magnetic moment: 0.0 μB/f.u. The calculation puts the energy above the most stable polymorph in this dataset at 16 meV/atom.



This record from the Alexandria database describes an optimized crystal structure of CuNiAg2. The functional is PBE.

Unit cell a=2.802 b=3.740 c=5.591 alpha=90.00 beta=90.00 gamma=90.00
Fractional coordinates of all 4 atoms:
Ag1 0.000 0.000 0.998
Ag2 0.000 0.000 0.502
Cu1 0.500 0.500 0.250
Ni1 0.500 0.500 0.750

Properties
Its space group is Pmmm. As for the total magnetic moment: 0.0 μB/f.u. The formation energy comes out at 204 meV per atom. The calculation puts the energy above the most stable polymorph in this dataset at 74 meV/atom.



This record from the Alexandria database describes an optimized crystal structure of AcLa2Pm4Sm. The functional is PBE.

Unit cell a=5.290 b=5.258 c=11.686 alpha=63.16 beta=90.00 gamma=90.00
Fractional coordinates of all 8 atoms:
Ac1 0.500 0.500 0.000
La1 0.000 0.000 0.000
La2 0.500 0.000 0.500
Pm1 0.000 0.756 0.744
Pm2 0.000 0.244 0.256
Pm3 0.500 0.744 0.256
Pm4 0.500 0.256 0.744
Sm1 0.000 0.500 0.500

Properties
Its space group is P2/m. As for the total magnetic moment: 0.0 μB/f.u. The formation energy comes out at 24 meV per atom.



This record from the Alexandria database describes an optimized crystal structure of Pm2TiTl. The functional is PBE.

Unit cell a=3.355 b=3.355 c=11.784 alpha=81.81 beta=81.81 gamma=60.00
Site moments in Bohr magnetons follow the coordinates.
Fractional coordinates of all 4 atoms:
Tl1 0.500 0.500 0.500  0.00
Ti1 0.000 0.000 0.000  1.27
Pm1 0.086 0.086 0.743  0.06
Pm2 0.914 0.914 0.257  0.06

Properties
Its space group is R-3m. As for the total magnetic moment: 1.8 μB/f.u. The formation energy comes out at 350 meV per atom. The calculation puts the energy above the most stable polymorph in this dataset at 343 meV/atom.



This record from the Alexandria database describes an optimized crystal structure of K2Rb4SnAs2. The functional is PBE.

Unit cell a=5.320 b=9.353 c=9.353 alpha=68.40 beta=73.50 gamma=73.50
Site moments in Bohr magnetons follow the coordinates.
Fractional coordinates of all 9 atoms:
K1 0.355 0.645 0.645  0.00
K2 0.645 0.355 0.355  0.00
Rb1 0.137 0.662 0.064  0.01
Rb2 0.863 0.936 0.338  0.01
Rb3 0.863 0.338 0.936  0.01
Rb4 0.137 0.064 0.662  0.01
Sn1 0.500 0.000 0.000  0.15
As1 0.293 0.207 0.207  0.08
As2 0.707 0.793 0.793  0.08

Properties
Its space group is Immm. As for the total magnetic moment: 1.0 μB/f.u. The formation energy comes out at -153 meV per atom.



This record from the Alexandria database describes an optimized crystal structure of ZrNbAu2. The functional is PBE.

Unit cell a=3.639 b=3.639 c=5.788 alpha=90.00 beta=90.00 gamma=90.00
Site moments in Bohr magnetons follow the coordinates.
Fractional coordinates of all 4 atoms:
Nb1 0.500 0.500 0.500  0.30
Au1 0.000 0.000 0.746  0.01
Au2 0.000 0.000 0.254  0.01
Zr1 0.500 0.500 0.000  0.00

Properties
Its space group is P4/mmm. As for the total magnetic moment: 0.4 μB/f.u. The formation energy comes out at -198 meV per atom. The calculation puts the energy above the most stable polymorph in this dataset at 0 meV/atom.



This record from the Alexandria database describes an optimized crystal structure of BeSiP2. The functional is PBE.

Unit cell a=5.128 b=5.128 c=6.272 alpha=65.87 beta=65.87 gamma=90.00
Fractional coordinates of all 8 atoms:
P1 0.610 0.125 0.250
P2 0.140 0.625 0.250
P3 0.375 0.390 0.750
P4 0.875 0.860 0.750
Si1 0.000 0.000 0.000
Si2 0.750 0.250 0.500
Be1 0.500 0.500 0.000
Be2 0.250 0.750 0.500

Properties
Its space group is I-42d. As for the total magnetic moment: 0.0 μB/f.u. The calculation puts the energy above the most stable polymorph in this dataset at 0 meV/atom.